Record 1
Density functional theory data (GGA-PBE) for an optimized crystal structure of CsTlGeTe3.

a = 7.7127 Å, b = 7.7127 Å, c = 10.2865 Å
α = 114.09°, β = 114.09°, γ = 73.08°
Atoms (fractional coordinates):
1 Cs 0.1726 0.1726 0.2223
2 Cs 0.8274 0.8274 0.7777
3 Tl 0.1935 0.8065 0.5000
4 Tl 0.8065 0.1935 0.5000
5 Ge 0.4949 0.4949 0.8735
6 Ge 0.5051 0.5051 0.1265
7 Te 0.1609 0.6285 0.1521
8 Te 0.2655 0.2655 0.6390
9 Te 0.3715 0.8391 0.8479
10 Te 0.6285 0.1609 0.1521
11 Te 0.7345 0.7345 0.3610
12 Te 0.8391 0.3715 0.8479

Computed properties:
The calculation puts the raw total energy at -3.222 eV per atom. The density is 5.221 g cm⁻³. As for the symmetry: No. 12.

***

Record 2
Density functional theory data (GGA-PBE) for an optimized crystal structure of Cs2TlGe2Te4.

a = 9.4062 Å, b = 9.4062 Å, c = 8.3456 Å
α = 109.76°, β = 109.76°, γ = 33.41°
Atoms (fractional coordinates):
1 Cs 0.1301 0.1301 0.0538
2 Cs 0.8699 0.8699 0.9462
3 Tl 0.0000 0.0000 0.5000
4 Ge 0.3224 0.3224 0.4939
5 Ge 0.6776 0.6776 0.5061
6 Te 0.2065 0.2065 0.6459
7 Te 0.4617 0.4617 0.7447
8 Te 0.5383 0.5383 0.2553
9 Te 0.7935 0.7935 0.3541

Computed properties:
The calculation puts the raw total energy at -3.351 eV per atom. The density is 4.914 g cm⁻³. As for the symmetry: No. 12.